## A
# GGA-PBE SrLi4Pd, relaxed
data_SrLi4Pd
_chemical_formula_sum 'Sr4 Li16 Pd4'
_space_group_name_H-M_alt 'F -4 3 m'
_space_group_IT_number 216
_space_group_name_Hall 'F -4 2 3'
_cell_length_a 7.882
_cell_length_b 7.882
_cell_length_c 7.882
_cell_angle_alpha 90.00
_cell_angle_beta 90.00
_cell_angle_gamma 90.00
loop_
_atom_site_label
_atom_site_fract_x
_atom_site_fract_y
_atom_site_fract_z
_atom_site_occupancy
Sr1 0.000 0.000 0.000 1
Li1 0.122 0.122 0.378 1
Pd1 0.250 0.250 0.750 1
# **Density**: 3.01 g cm⁻³


## B
# GGA-PBE SrLi4Pd, relaxed
data_SrLi4Pd
_chemical_formula_sum 'Sr4 Li16 Pd4'
_space_group_name_H-M_alt 'C 1 2/m 1'
_space_group_IT_number 12
_space_group_name_Hall '-C 2y'
_cell_length_a 16.540
_cell_length_b 6.810
_cell_length_c 5.556
_cell_angle_alpha 90.00
_cell_angle_beta 109.10
_cell_angle_gamma 90.00
loop_
_atom_site_label
_atom_site_fract_x
_atom_site_fract_y
_atom_site_fract_z
_atom_site_occupancy
Sr1 0.218 0.000 0.216 1
Li1 0.000 0.198 0.000 1
Li2 0.088 0.231 0.586 1
Li3 0.136 0.500 0.139 1
Pd1 0.001 0.500 0.743 1
# **Density**: 2.49 g cm⁻³


## C
# GGA-PBE SrLi4Pd, relaxed
data_SrLi4Pd
_chemical_formula_sum 'Sr1 Li4 Pd1'
_space_group_name_H-M_alt 'P 4/m m m'
_space_group_IT_number 123
_space_group_name_Hall '-P 4 2'
_cell_length_a 4.851
_cell_length_b 4.851
_cell_length_c 7.415
_cell_angle_alpha 90.00
_cell_angle_beta 90.00
_cell_angle_gamma 90.00
loop_
_atom_site_label
_atom_site_fract_x
_atom_site_fract_y
_atom_site_fract_z
_atom_site_occupancy
Sr1 0.000 0.000 0.000 1
Li1 0.000 0.500 0.500 1
Li2 0.500 0.500 0.183 1
Pd1 0.500 0.500 0.500 1
# **Density**: 2.11 g cm⁻³


Decreasing stability: B, A, C


## A
# GGA-PBE Sr4Li2Pd, relaxed
data_Sr4Li2Pd
_chemical_formula_sum 'Sr8 Li4 Pd2'
_space_group_name_H-M_alt 'C 1 2/m 1'
_space_group_IT_number 12
_space_group_name_Hall '-C 2y'
_cell_length_a 17.490
_cell_length_b 4.530
_cell_length_c 7.098
_cell_angle_alpha 90.00
_cell_angle_beta 103.94
_cell_angle_gamma 90.00
loop_
_atom_site_label
_atom_site_fract_x
_atom_site_fract_y
_atom_site_fract_z
_atom_site_occupancy
Sr1 0.069 0.000 0.277 1
Sr2 0.146 0.500 0.836 1
Li1 0.233 0.500 0.367 1
Pd1 0.000 0.500 0.000 1
# **Density**: 2.86 g cm⁻³


## B
# GGA-PBE Sr4Li2Pd, relaxed
data_Sr4Li2Pd
_chemical_formula_sum 'Sr8 Li4 Pd2'
_space_group_name_H-M_alt 'I 4/m m m'
_space_group_IT_number 139
_space_group_name_Hall '-I 4 2'
_cell_length_a 5.860
_cell_length_b 5.860
_cell_length_c 17.646
_cell_angle_alpha 90.00
_cell_angle_beta 90.00
_cell_angle_gamma 90.00
loop_
_atom_site_label
_atom_site_fract_x
_atom_site_fract_y
_atom_site_fract_z
_atom_site_occupancy
Sr1 0.000 0.000 0.175 1
Sr2 0.000 0.500 0.000 1
Li1 0.000 0.000 0.377 1
Pd1 0.000 0.000 0.000 1
# **Density**: 2.58 g cm⁻³


Decreasing stability: A, B


## A
# GGA-PBE Sr2Li5Pd4, relaxed
data_Sr2Li5Pd4
_chemical_formula_sum 'Sr4 Li10 Pd8'
_space_group_name_H-M_alt 'C 1 2/m 1'
_space_group_IT_number 12
_space_group_name_Hall '-C 2y'
_cell_length_a 12.738
_cell_length_b 5.548
_cell_length_c 8.322
_cell_angle_alpha 90.00
_cell_angle_beta 126.38
_cell_angle_gamma 90.00
loop_
_atom_site_label
_atom_site_fract_x
_atom_site_fract_y
_atom_site_fract_z
_atom_site_occupancy
Sr1 0.221 0.000 0.282 1
Li1 0.000 0.500 0.000 1
Li2 0.050 0.243 0.739 1
Pd1 0.131 0.000 0.560 1
Pd2 0.221 0.500 0.035 1
# **Density**: 4.46 g cm⁻³


## B
# GGA-PBE Sr2Li5Pd4, relaxed
data_Sr2Li5Pd4
_chemical_formula_sum 'Sr8 Li20 Pd16'
_space_group_name_H-M_alt 'F m m m'
_space_group_IT_number 69
_space_group_name_Hall '-F 2 2'
_cell_length_a 5.839
_cell_length_b 9.863
_cell_length_c 15.294
_cell_angle_alpha 90.00
_cell_angle_beta 90.00
_cell_angle_gamma 90.00
loop_
_atom_site_label
_atom_site_fract_x
_atom_site_fract_y
_atom_site_fract_z
_atom_site_occupancy
Sr1 0.000 0.000 0.151 1
Li1 0.000 0.000 0.500 1
Li2 0.250 0.250 0.000 1
Li3 0.250 0.250 0.250 1
Pd1 0.000 0.144 0.366 1
# **Density**: 4.79 g cm⁻³


Decreasing stability: B, A


## A
# GGA-PBE SrLiY2Pd, relaxed
data_SrLiY2Pd
_chemical_formula_sum 'Sr1 Li1 Y2 Pd1'
_space_group_name_H-M_alt 'P 4/m m m'
_space_group_IT_number 123
_space_group_name_Hall '-P 4 2'
_cell_length_a 5.466
_cell_length_b 5.466
_cell_length_c 6.018
_cell_angle_alpha 90.00
_cell_angle_beta 90.00
_cell_angle_gamma 90.00
loop_
_atom_site_label
_atom_site_fract_x
_atom_site_fract_y
_atom_site_fract_z
_atom_site_occupancy
Sr1 0.000 0.000 0.000 1
Li1 0.500 0.500 0.000 1
Y1 0.000 0.500 0.500 1
Pd1 0.000 0.000 0.500 1
# **Density**: 3.50 g cm⁻³


## B
# GGA-PBE SrLiY2Pd, relaxed
data_SrLiY2Pd
_chemical_formula_sum 'Sr1 Li1 Y2 Pd1'
_space_group_name_H-M_alt 'P 4/m m m'
_space_group_IT_number 123
_space_group_name_Hall '-P 4 2'
_cell_length_a 5.454
_cell_length_b 5.454
_cell_length_c 5.370
_cell_angle_alpha 90.00
_cell_angle_beta 90.00
_cell_angle_gamma 90.00
loop_
_atom_site_label
_atom_site_fract_x
_atom_site_fract_y
_atom_site_fract_z
_atom_site_occupancy
Sr1 0.000 0.000 0.000 1
Li1 0.500 0.500 0.000 1
Y1 0.000 0.500 0.500 1
Pd1 0.500 0.500 0.500 1
# **Density**: 3.94 g cm⁻³


Decreasing stability: B, A


## A
# GGA-PBE Sr2LiYPd, relaxed
data_Sr2LiYPd
_chemical_formula_sum 'Sr2 Li1 Y1 Pd1'
_space_group_name_H-M_alt 'P 4/m m m'
_space_group_IT_number 123
_space_group_name_Hall '-P 4 2'
_cell_length_a 6.609
_cell_length_b 6.609
_cell_length_c 4.991
_cell_angle_alpha 90.00
_cell_angle_beta 90.00
_cell_angle_gamma 90.00
loop_
_atom_site_label
_atom_site_fract_x
_atom_site_fract_y
_atom_site_fract_z
_atom_site_occupancy
Sr1 0.000 0.500 0.000 1
Li1 0.000 0.000 0.500 1
Y1 0.500 0.500 0.000 1
Pd1 0.500 0.500 0.500 1
# **Density**: 2.88 g cm⁻³


## B
# GGA-PBE Sr2LiYPd, relaxed
data_Sr2LiYPd
_chemical_formula_sum 'Sr2 Li1 Y1 Pd1'
_space_group_name_H-M_alt 'P 4/m m m'
_space_group_IT_number 123
_space_group_name_Hall '-P 4 2'
_cell_length_a 6.010
_cell_length_b 6.010
_cell_length_c 5.444
_cell_angle_alpha 90.00
_cell_angle_beta 90.00
_cell_angle_gamma 90.00
loop_
_atom_site_label
_atom_site_fract_x
_atom_site_fract_y
_atom_site_fract_z
_atom_site_occupancy
Sr1 0.000 0.500 0.000 1
Li1 0.000 0.000 0.500 1
Y1 0.500 0.500 0.500 1
Pd1 0.500 0.500 0.000 1
# **Density**: 3.19 g cm⁻³


Decreasing stability: B, A


## A
# GGA-PBE SrLiZn2Pd, relaxed
data_SrLiZn2Pd
_chemical_formula_sum 'Sr2 Li2 Zn4 Pd2'
_space_group_name_H-M_alt 'I m m 2'
_space_group_IT_number 44
_space_group_name_Hall 'I 2 -2'
_cell_length_a 4.190
_cell_length_b 4.378
_cell_length_c 11.388
_cell_angle_alpha 90.00
_cell_angle_beta 90.00
_cell_angle_gamma 90.00
loop_
_atom_site_label
_atom_site_fract_x
_atom_site_fract_y
_atom_site_fract_z
_atom_site_occupancy
Sr1 0.000 0.000 0.000 1
Li1 0.000 0.500 0.735 1
Zn1 0.000 0.000 0.380 1
Zn2 0.000 0.500 0.244 1
Pd1 0.000 0.000 0.605 1
# **Density**: 5.28 g cm⁻³


## B
# GGA-PBE SrLiZn2Pd, relaxed
data_SrLiZn2Pd
_chemical_formula_sum 'Sr1 Li1 Zn2 Pd1'
_space_group_name_H-M_alt 'P 4/m m m'
_space_group_IT_number 123
_space_group_name_Hall '-P 4 2'
_cell_length_a 4.921
_cell_length_b 4.921
_cell_length_c 4.779
_cell_angle_alpha 90.00
_cell_angle_beta 90.00
_cell_angle_gamma 90.00
loop_
_atom_site_label
_atom_site_fract_x
_atom_site_fract_y
_atom_site_fract_z
_atom_site_occupancy
Sr1 0.000 0.000 0.000 1
Li1 0.500 0.500 0.000 1
Zn1 0.000 0.500 0.500 1
Pd1 0.500 0.500 0.500 1
# **Density**: 4.76 g cm⁻³


Decreasing stability: A, B


## A
# GGA-PBE Li2Ta2Pd, relaxed
data_Li2Ta2Pd
_chemical_formula_sum 'Li4 Ta4 Pd2'
_space_group_name_H-M_alt 'I 4/m m m'
_space_group_IT_number 139
_space_group_name_Hall '-I 4 2'
_cell_length_a 2.922
_cell_length_b 2.922
_cell_length_c 18.215
_cell_angle_alpha 90.00
_cell_angle_beta 90.00
_cell_angle_gamma 90.00
loop_
_atom_site_label
_atom_site_fract_x
_atom_site_fract_y
_atom_site_fract_z
_atom_site_occupancy
Li1 0.000 0.500 0.250 1
Ta1 0.000 0.000 0.108 1
Pd1 0.000 0.000 0.500 1
# **Density**: 10.29 g cm⁻³


## B
# GGA-PBE Li2Ta2Pd, relaxed
data_Li2Ta2Pd
_chemical_formula_sum 'Li4 Ta4 Pd2'
_space_group_name_H-M_alt 'P 4/m b m'
_space_group_IT_number 127
_space_group_name_Hall '-P 4 2ab'
_cell_length_a 7.592
_cell_length_b 7.592
_cell_length_c 2.796
_cell_angle_alpha 90.00
_cell_angle_beta 90.00
_cell_angle_gamma 90.00
loop_
_atom_site_label
_atom_site_fract_x
_atom_site_fract_y
_atom_site_fract_z
_atom_site_occupancy
Li1 0.177 0.323 0.000 1
Ta1 0.123 0.623 0.500 1
Pd1 0.000 0.000 0.500 1
# **Density**: 9.94 g cm⁻³


Decreasing stability: A, B


## A
# GGA-PBE LiTaPd5, relaxed
data_LiTaPd5
_chemical_formula_sum 'Li4 Ta4 Pd20'
_space_group_name_H-M_alt 'C 1 2/c 1'
_space_group_IT_number 15
_space_group_name_Hall '-C 2yc'
_cell_length_a 9.352
_cell_length_b 5.567
_cell_length_c 9.285
_cell_angle_alpha 90.00
_cell_angle_beta 105.19
_cell_angle_gamma 90.00
loop_
_atom_site_label
_atom_site_fract_x
_atom_site_fract_y
_atom_site_fract_z
_atom_site_occupancy
Li1 0.250 0.250 0.000 1
Ta1 0.000 0.128 0.250 1
Pd1 0.000 0.331 0.750 1
Pd2 0.101 0.324 0.491 1
Pd3 0.249 0.075 0.738 1
# **Density**: 10.25 g cm⁻³


## B
# GGA-PBE LiTaPd5, relaxed
data_LiTaPd5
_chemical_formula_sum 'Li1 Ta1 Pd5'
_space_group_name_H-M_alt 'P 4/m m m'
_space_group_IT_number 123
_space_group_name_Hall '-P 4 2'
_cell_length_a 4.036
_cell_length_b 4.036
_cell_length_c 6.658
_cell_angle_alpha 90.00
_cell_angle_beta 90.00
_cell_angle_gamma 90.00
loop_
_atom_site_label
_atom_site_fract_x
_atom_site_fract_y
_atom_site_fract_z
_atom_site_occupancy
Li1 0.000 0.000 0.000 1
Ta1 0.500 0.500 0.500 1
Pd1 0.000 0.000 0.500 1
Pd2 0.000 0.500 0.219 1
# **Density**: 11.02 g cm⁻³


Decreasing stability: B, A


## A
# GGA-PBE Li2TbPd2, relaxed
data_Li2TbPd2
_chemical_formula_sum 'Li4 Tb2 Pd4'
_space_group_name_H-M_alt 'C 1 2/m 1'
_space_group_IT_number 12
_space_group_name_Hall '-C 2y'
_cell_length_a 5.347
_cell_length_b 5.346
_cell_length_c 6.982
_cell_angle_alpha 90.00
_cell_angle_beta 112.40
_cell_angle_gamma 90.00
loop_
_atom_site_label
_atom_site_fract_x
_atom_site_fract_y
_atom_site_fract_z
_atom_site_occupancy
Li1 0.000 0.250 0.000 1
Tb1 0.000 0.000 0.500 1
Pd1 0.106 0.500 0.712 1
# **Density**: 6.94 g cm⁻³


## B
# GGA-PBE Li2TbPd2, relaxed
data_Li2TbPd2
_chemical_formula_sum 'Li2 Tb1 Pd2'
_space_group_name_H-M_alt 'P -3 m 1'
_space_group_IT_number 164
_space_group_name_Hall '-P 3 2"'
_cell_length_a 4.7574
_cell_length_b 4.7574
_cell_length_c 5.2239
_cell_angle_alpha 90.00
_cell_angle_beta 90.00
_cell_angle_gamma 120.00
loop_
_atom_site_label
_atom_site_fract_x
_atom_site_fract_y
_atom_site_fract_z
_atom_site_occupancy
Li1 0.3333 0.6667 0.1304 1
Tb1 0.0000 0.0000 0.5000 1
Pd1 0.3333 0.6667 0.6354 1
# **Density**: 6.25 g cm⁻³


Decreasing stability: A, B


## A
# GGA-PBE Li2TbPd4, relaxed
data_Li2TbPd4
_chemical_formula_sum 'Li4 Tb2 Pd8'
_space_group_name_H-M_alt 'I 4/m m m'
_space_group_IT_number 139
_space_group_name_Hall '-I 4 2'
_cell_length_a 6.567
_cell_length_b 6.567
_cell_length_c 5.756
_cell_angle_alpha 90.00
_cell_angle_beta 90.00
_cell_angle_gamma 90.00
loop_
_atom_site_label
_atom_site_fract_x
_atom_site_fract_y
_atom_site_fract_z
_atom_site_occupancy
Li1 0.000 0.500 0.000 1
Tb1 0.000 0.000 0.000 1
Pd1 0.250 0.250 0.250 1
# **Density**: 8.01 g cm⁻³


## B
# GGA-PBE Li2TbPd4, relaxed
data_Li2TbPd4
_chemical_formula_sum 'Li4 Tb2 Pd8'
_space_group_name_H-M_alt 'P 1'
_space_group_IT_number 1
_space_group_name_Hall 'P 1'
_cell_length_a 5.633
_cell_length_b 6.413
_cell_length_c 6.922
_cell_angle_alpha 101.69
_cell_angle_beta 104.00
_cell_angle_gamma 99.55
loop_
_atom_site_label
_atom_site_fract_x
_atom_site_fract_y
_atom_site_fract_z
_atom_site_occupancy
Li1 0.000 0.000 0.000 1
Li2 0.066 0.777 0.291 1
Li3 0.162 0.472 0.548 1
Li4 0.492 0.017 0.026 1
Tb1 0.527 0.538 0.259 1
Tb2 0.735 0.275 0.711 1
Pd1 0.171 0.642 0.930 1
Pd2 0.245 0.218 0.783 1
Pd3 0.320 0.147 0.355 1
Pd4 0.427 0.850 0.634 1
Pd5 0.663 0.654 0.926 1
Pd6 0.817 0.070 0.357 1
Pd7 0.902 0.795 0.624 1
Pd8 0.958 0.375 0.150 1
# **Density**: 8.59 g cm⁻³


Decreasing stability: B, A


## A
# GGA-PBE LiTb2Pd4, relaxed
data_LiTb2Pd4
_chemical_formula_sum 'Li2 Tb4 Pd8'
_space_group_name_H-M_alt 'I 4/m m m'
_space_group_IT_number 139
_space_group_name_Hall '-I 4 2'
_cell_length_a 4.308
_cell_length_b 4.308
_cell_length_c 14.693
_cell_angle_alpha 90.00
_cell_angle_beta 90.00
_cell_angle_gamma 90.00
loop_
_atom_site_label
_atom_site_fract_x
_atom_site_fract_y
_atom_site_fract_z
_atom_site_occupancy
Li1 0.000 0.000 0.000 1
Tb1 0.000 0.000 0.349 1
Pd1 0.000 0.000 0.157 1
Pd2 0.000 0.500 0.000 1
# **Density**: 9.14 g cm⁻³


## B
# GGA-PBE LiTb2Pd4, relaxed
data_LiTb2Pd4
_chemical_formula_sum 'Li4 Tb8 Pd16'
_space_group_name_H-M_alt 'F m m m'
_space_group_IT_number 69
_space_group_name_Hall '-F 2 2'
_cell_length_a 7.859
_cell_length_b 8.607
_cell_length_c 8.623
_cell_angle_alpha 90.00
_cell_angle_beta 90.00
_cell_angle_gamma 90.00
loop_
_atom_site_label
_atom_site_fract_x
_atom_site_fract_y
_atom_site_fract_z
_atom_site_occupancy
Li1 0.000 0.000 0.000 1
Tb1 0.250 0.250 0.250 1
Pd1 0.000 0.000 0.278 1
Pd2 0.000 0.221 0.500 1
# **Density**: 8.55 g cm⁻³


Decreasing stability: B, A


## A
# GGA-PBE LiTbPd6, relaxed
data_LiTbPd6
_chemical_formula_sum 'Li1 Tb1 Pd6'
_space_group_name_H-M_alt 'P 4/m m m'
_space_group_IT_number 123
_space_group_name_Hall '-P 4 2'
_cell_length_a 4.081
_cell_length_b 4.081
_cell_length_c 7.830
_cell_angle_alpha 90.00
_cell_angle_beta 90.00
_cell_angle_gamma 90.00
loop_
_atom_site_label
_atom_site_fract_x
_atom_site_fract_y
_atom_site_fract_z
_atom_site_occupancy
Li1 0.000 0.000 0.000 1
Tb1 0.000 0.000 0.500 1
Pd1 0.000 0.500 0.235 1
Pd2 0.500 0.500 0.000 1
Pd3 0.500 0.500 0.500 1
# **Density**: 10.24 g cm⁻³


## B
# GGA-PBE LiTbPd6, relaxed
data_LiTbPd6
_chemical_formula_sum 'Li3 Tb3 Pd18'
_space_group_name_H-M_alt 'R -3 m'
_space_group_IT_number 166
_space_group_name_Hall '-R 3 2"'
_cell_length_a 9.0642
_cell_length_b 9.0642
_cell_length_c 5.5615
_cell_angle_alpha 90.00
_cell_angle_beta 90.00
_cell_angle_gamma 120.00
loop_
_atom_site_label
_atom_site_fract_x
_atom_site_fract_y
_atom_site_fract_z
_atom_site_occupancy
Li1 0.0000 0.0000 0.0000 1
Tb1 0.0000 0.0000 0.5000 1
Pd1 0.0154 0.5077 0.7572 1
# **Density**: 10.13 g cm⁻³


Decreasing stability: A, B